1.
This record from Alexandria describes a relaxed AlZn2Si crystal. The functional is PBE.

Output
The value obtained for the uncorrected formation energy is 0.21 eV per atom. As for the space group: P4/mmm, No. 123. The calculation puts the magnetization at 0.0 μB/f.u. The value obtained for the total energy is -2.723 eV per atom.

Cell and atoms, written as POSCAR:
```
AlZn2Si
1.0
2.775 0.000 0.000
0.000 2.775 0.000
0.000 0.000 8.202
Al Zn Si
1 2 1
Cartesian
0.000 0.000 0.000
1.388 1.388 2.003
1.388 1.388 6.200
0.000 0.000 4.101
```

2.
This record from Alexandria describes a relaxed AlZn2Si crystal. The functional is PBE.

Output
The value obtained for the uncorrected formation energy is 0.17 eV per atom. As for the space group: C2, No. 5. The calculation puts the magnetization at 0.0 μB/f.u. The value obtained for the total energy is -2.755 eV per atom.

Cell and atoms, written as POSCAR:
```
AlZn2Si
1.0
2.734 -2.812 0.000
2.734 2.812 0.000
-2.639 0.000 4.058
Al Zn Si
1 2 1
Cartesian
0.000 0.000 0.000
1.414 1.407 2.029
2.734 0.011 0.000
1.414 -1.399 2.029
```

Q: Number 2 is which compound?
A: AlZn2Si

Q: Which value of magnetization does entry 2 give?
A: 0.0 μB/f.u.